1.
Material: Ba2Si2Ag
Method: DFT, GGA-PBE
State: relaxed

Values from the calculation:
The calculation puts the polymorph energy (0 for the lowest one) at 210 meV/atom. The calculation puts the density of states at the Fermi level at 5.8 states/eV per cell. Its energy relative to the elements, uncorrected is -0.01 kcal/mol of atoms.

Lattice parameters (Å, degrees): 6.5123 6.5123 5.9662 56.92 56.92 90.00
Last column: nearest neighbours and their distance in Å.
Atoms (fractional coordinates):
Si (0.3467, 0.3467, 0.3065)  1 Si 2.33
Si (0.6533, 0.6533, 0.6935)  1 Si 2.33
Ba (0.7500, 0.2500, 0.5000)  4 Si 3.34
Ba (0.2500, 0.7500, 0.5000)  4 Si 3.34
Ag (0.0000, 0.0000, 0.0000)  2 Si 2.63



2.
Material: BaSi2TcAg
Method: DFT, GGA-PBE
State: relaxed

Values from the calculation:
The calculation puts the density of states at the Fermi level at 1.2 states/eV per cell. Its energy relative to the elements, uncorrected is -3.24 kcal/mol of atoms.

Lattice parameters (Å, degrees): 4.6680 4.6680 5.4348 90.00 90.00 90.00
Last column: nearest neighbours and their distance in Å.
Atoms (fractional coordinates):
Si (0.0000, 0.5000, 0.0000)  2 Tc 2.33
Si (0.5000, 0.0000, 0.0000)  2 Tc 2.33
Ba (0.5000, 0.5000, 0.5000)  4 Ag 3.30, 8 Si 3.58
Ag (0.0000, 0.0000, 0.5000)  2 Tc 2.72
Tc (0.0000, 0.0000, 0.0000)  4 Si 2.33



3.
Material: BaTiSi2Ag
Method: DFT, GGA-PBE
State: relaxed

Values from the calculation:
The calculation puts the density of states at the Fermi level at 5.6 states/eV per cell. Its energy relative to the elements, uncorrected is 15.46 kcal/mol of atoms.

Lattice parameters (Å, degrees): 4.9491 5.1701 4.9491 90.00 90.00 90.00
Last column: nearest neighbours and their distance in Å.
Atoms (fractional coordinates):
Si (0.0000, 0.0000, 0.5000)  2 Ag 2.47
Si (0.5000, 0.0000, 0.0000)  2 Ag 2.47
Ba (0.5000, 0.5000, 0.5000)  4 Ti 3.50, 8 Si 3.58
Ag (0.0000, 0.0000, 0.0000)  4 Si 2.47, 2 Ti 2.59
Ti (0.0000, 0.5000, 0.0000)  2 Ag 2.59